Record 1
First-principles (GGA-PBE) data for a relaxed structure of LaTePt2, as listed in the Alexandria database.

The space-group type is No. 123.

Geometry as POSCAR:
```
LaTePt2
1.0
3.892 0.000 0.000
0.000 3.892 0.000
0.000 0.000 6.022
La Pt Te
1 2 1
direct
0.500 0.500 0.750 La
0.000 0.000 0.006 Pt
0.000 0.000 0.494 Pt
0.500 0.500 0.250 Te
```

---

Record 2
First-principles (GGA-PBE) data for a relaxed structure of LaTePt, as listed in the Alexandria database.

The space-group type is No. 47.

Geometry as POSCAR:
```
LaTePt
1.0
-6.246 -6.796 -0.388
0.616 -0.324 -4.248
2.886 -2.688 0.624
Te Pt La
2 2 2
direct
0.184 0.500 0.500 Te
0.816 0.500 0.500 Te
0.356 0.000 0.500 Pt
0.644 0.000 0.500 Pt
0.000 0.000 0.000 La
0.500 0.500 0.000 La
```

---

Record 3
First-principles (GGA-PBE) data for a relaxed structure of LaTe2Pt, as listed in the Alexandria database.

The space-group type is No. 44.

Geometry as POSCAR:
```
LaTe2Pt
1.0
-1.666 1.458 5.650
-3.862 -3.777 2.765
5.370 -0.038 -2.826
La Pt Te
1 1 2
direct
0.491 0.491 0.000 La
0.214 0.714 0.500 Pt
0.035 0.035 0.000 Te
0.761 0.261 0.500 Te
```

---

no.,formation energy without anion corrections (eV/atom)
1,-0.6394
2,-1.1589
3,-0.7858